No. 1
{
  "formula": "UInIr",
  "functional": "PBE-GGA",
  "state": "optimized geometry",
  "cell": [[-1.6272, 1.6272, 5.9311], [1.6272, -1.6272, 5.9311], [1.6272, 1.6272, -5.9311]],
  "species": ["U", "In", "Ir"],
  "frac_coords": [[0.0000, 0.0000, 0.0000], [0.7073, 0.7073, 0.0000], [0.3652, 0.3652, 0.0000]],
  "ef_mev_per_atom": -224,
  "energy_ev_per_atom": -7.85,
  "volume_a3_per_cell": 62.82
}

=====

No. 2
{
  "formula": "UInIr",
  "functional": "PBE-GGA",
  "state": "optimized geometry",
  "cell": [[0.0000, 3.2989, 3.2989], [3.2989, 0.0000, 3.2989], [3.2989, 3.2989, 0.0000]],
  "species": ["U", "In", "Ir"],
  "frac_coords": [[0.0000, 0.0000, 0.0000], [0.5000, 0.5000, 0.5000], [0.2500, 0.2500, 0.2500]],
  "ef_mev_per_atom": -152,
  "energy_ev_per_atom": -7.78,
  "volume_a3_per_cell": 71.80
}

=====

No. 3
{
  "formula": "U2InIr2",
  "functional": "PBE-GGA",
  "state": "optimized geometry",
  "cell": [[7.6946, 0.0000, 0.0000], [0.0000, 7.6946, 0.0000], [0.0000, 0.0000, 3.5313]],
  "species": ["U", "U", "U", "U", "In", "In", "Ir", "Ir", "Ir", "Ir"],
  "frac_coords": [[0.1653, 0.3347, 0.0000], [0.3347, 0.8347, 0.0000], [0.6653, 0.1653, 0.0000], [0.8347, 0.6653, 0.0000], [0.0000, 0.0000, 0.5000], [0.5000, 0.5000, 0.5000], [0.1371, 0.6371, 0.5000], [0.3629, 0.1371, 0.5000], [0.6371, 0.8629, 0.5000], [0.8629, 0.3629, 0.5000]],
  "ef_mev_per_atom": -457,
  "energy_ev_per_atom": -9.06,
  "volume_a3_per_cell": 209.08
}

=====

No. 4
{
  "formula": "UInIr4",
  "functional": "PBE-GGA",
  "state": "optimized geometry",
  "cell": [[0.0000, 3.7505, 3.7505], [3.7505, 0.0000, 3.7505], [3.7505, 3.7505, 0.0000]],
  "species": ["U", "In", "Ir", "Ir", "Ir", "Ir"],
  "frac_coords": [[0.0000, 0.0000, 0.0000], [0.7500, 0.7500, 0.7500], [0.3759, 0.3759, 0.3759], [0.3759, 0.3759, 0.8724], [0.3759, 0.8724, 0.3759], [0.8724, 0.3759, 0.3759]],
  "ef_mev_per_atom": -346,
  "energy_ev_per_atom": -8.59,
  "volume_a3_per_cell": 105.51
}

=====

No. 5
{
  "formula": "VInIr",
  "functional": "PBE-GGA",
  "state": "optimized geometry",
  "cell": [[0.0000, 3.5170, 5.5734], [2.7962, 0.0000, 5.5734], [2.7962, 3.5170, 0.0000]],
  "species": ["V", "V", "In", "In", "Ir", "Ir"],
  "frac_coords": [[0.2500, 0.2500, 0.2500], [0.7500, 0.7500, 0.7500], [0.1854, 0.8146, 0.1854], [0.8146, 0.1854, 0.8146], [0.3560, 0.3560, 0.6440], [0.6440, 0.6440, 0.3560]],
  "ef_mev_per_atom": 95,
  "energy_ev_per_atom": -6.81,
  "volume_a3_per_cell": 109.62
}

=====

No. 6
{
  "formula": "VInIr",
  "functional": "PBE-GGA",
  "state": "optimized geometry",
  "cell": [[-1.4629, 1.4629, 5.7527], [1.4629, -1.4629, 5.7527], [1.4629, 1.4629, -5.7527]],
  "species": ["V", "In", "Ir"],
  "frac_coords": [[0.0000, 0.0000, 0.0000], [0.6841, 0.6841, 0.0000], [0.3684, 0.3684, 0.0000]],
  "ef_mev_per_atom": -162,
  "energy_ev_per_atom": -7.07,
  "volume_a3_per_cell": 49.25
}